Entry 1:
YBIr2Rh: single point on PBEsol structure, meta-GGA SCAN.

Summary:
As for the raw total energy: -40.575 eV/atom. The value obtained for the density of states at the Fermi level is 0.843 states/eV/atom. Its total magnetization is 0.00 μB per formula unit. As for the formation enthalpy at 0 K: 8.366 eV per formula unit.

abc: 4.6369 4.6369 5.0521
angles: 90.00 90.00 90.00
Last column: nearest neighbours and their distance in Å.
Space group P4/mmm (No. 123)
Inequivalent atoms, fractional coordinates:
1 Y 0.0000 0.0000 0.0000 x1  2 Rh 2.53
2 B 0.5000 0.5000 0.0000 x1  4 Y 3.28, 8 Ir 3.43
3 Ir 0.0000 0.5000 0.5000 x2  2 Rh 2.32
4 Rh 0.0000 0.0000 0.5000 x1  4 Ir 2.32, 2 Y 2.53

Entry 2:
ScBIr2: single point on PBEsol structure, meta-GGA SCAN.

Summary:
As for the raw total energy: -41.614 eV/atom. The value obtained for the density of states at the Fermi level is 0.251 states/eV/atom. Its total magnetization is 0.00 μB per formula unit. As for the formation enthalpy at 0 K: -2.590 eV per formula unit.

abc: 6.6876 6.6876 5.0609
angles: 90.00 90.00 90.00
Last column: nearest neighbours and their distance in Å.
Space group I-42d (No. 122)
Inequivalent atoms, fractional coordinates:
1 Sc 0.0000 0.0000 0.0000 x4  2 B 2.53, 4 Ir 2.73
2 B 0.0000 0.0000 0.5000 x4  4 Ir 2.06
3 Ir 0.1519 0.7500 0.6250 x8  2 B 2.06